First-principles (PBE) data for a relaxed AcHoRu2 crystal, as listed in Alexandria via LeMat-Bulk.

Cell: 4.9882 4.9882 4.9882 Å, 60.00 60.00 60.00°
Sites, in units of the cell vectors:
Ac1 0.0000 0.0000 0.0000
Ho1 0.5000 0.5000 0.5000
Ru1 0.2500 0.2500 0.2500
Ru2 0.7500 0.7500 0.7500

Properties
D(E_F)	3.74	states/eV/cell
symmetry	Fm-3m, No. 225
calculated formation energy	-0.0887	eV per atom
offset from the most stable computed form	0	meV/atom